(1)
Here is LiPd6Pb after structural relaxation from Alexandria via LeMat-Bulk. Energies are from PBE-GGA.

abc: 4.0224 4.0224 7.9565
angles: 90.00 90.00 90.00
With the nearest neighbours (Å) after each atom.
Space group P4/mmm (No. 123)
Unique sites:
Li (0.0000, 0.0000, 0.0000) [1 per cell]  12 Pd 2.75-2.84
Pd (0.0000, 0.5000, 0.2355) [4 per cell]  8 Pd 2.75-2.91, 2 Li 2.75, 2 Pb 2.91
Pd (0.5000, 0.5000, 0.0000) [1 per cell]  8 Pd 2.75, 4 Li 2.84
Pd (0.5000, 0.5000, 0.5000) [1 per cell]  4 Pb 2.84, 8 Pd 2.91
Pb (0.0000, 0.0000, 0.5000) [1 per cell]  12 Pd 2.84-2.91

Output
Formation enthalpy at 0 K in eV per atom: -0.23
Calculated density in g/cm³: 11.0
Calculated total energy in eV/atom: -4.83

***

(2)
Here is ReAgPb after structural relaxation from Alexandria via LeMat-Bulk. Energies are from PBE-GGA.

abc: 4.8391 4.8391 2.8897
angles: 90.00 90.00 120.00
With the nearest neighbours (Å) after each atom.
Space group P-6m2 (No. 187)
Unique sites:
Re (0.0000, 0.0000, 0.0000) [1 per cell]  3 Pb 2.79, 2 Re 2.89
Ag (0.6667, 0.3333, 0.5000) [1 per cell]  2 Ag 2.89, 6 Re 3.15, 6 Pb 3.15
Pb (0.3333, 0.6667, 0.0000) [1 per cell]  3 Re 2.79, 2 Pb 2.89

Output
Formation enthalpy at 0 K in eV per atom: 1.00
Calculated density in g/cm³: 14.2
Calculated total energy in eV/atom: -5.33

***

no.,density of states at the Fermi level (states/eV per atom)
1,1.389
2,0.738